# 1
A plane-wave DFT calculation with PBE-GGA was carried out for a geometry-optimized LaRu5 structure.

Output
The crystal system is tetragonal. The final energy comes out at -8.2704 eV/atom. The calculation puts the energy of formation from the pure elements at 280.7 meV/atom.

a b c (Å): 2.8235 2.8235 12.1818
angles (deg): 90.00 90.00 90.00
Sites, in units of the cell vectors:
La  0.0000  0.0000  0.0000
Ru  0.0000  0.0000  0.3453
Ru  0.0000  0.0000  0.6547
Ru  0.5000  0.5000  0.2066
Ru  0.5000  0.5000  0.5000
Ru  0.5000  0.5000  0.7934

---

# 2
A plane-wave DFT calculation with PBE-GGA was carried out for a geometry-optimized Na2InBi4 structure.

Output
The crystal system is tetragonal. The final energy comes out at -2.6605 eV/atom. The calculation puts the energy of formation from the pure elements at 325.3 meV/atom.

a b c (Å): 8.8592 8.8592 8.8592
angles (deg): 141.11 141.11 56.17
Sites, in units of the cell vectors:
Na  0.1129  0.1129  0.0000
Na  0.8871  0.8871  0.0000
In  0.5000  0.5000  0.0000
Bi  0.0000  0.5000  0.5000
Bi  0.3187  0.3187  0.0000
Bi  0.5000  0.0000  0.5000
Bi  0.6813  0.6813  0.0000

---

# 3
A plane-wave DFT calculation with PBE-GGA was carried out for a geometry-optimized NaAcGd2 structure.

Output
The calculation puts the distance to the lowest polymorph of the same formula at 0 meV per atom. The crystal system is tetragonal. The final energy comes out at -8.2368 eV/atom. The calculation puts the energy of formation from the pure elements at 160.6 meV/atom.

a b c (Å): 3.7175 3.7175 10.5735
angles (deg): 90.00 90.00 90.00
Sites, in units of the cell vectors:
Na  0.0000  0.0000  0.0000
Ac  0.0000  0.0000  0.5000
Gd  0.5000  0.5000  0.2563
Gd  0.5000  0.5000  0.7437

---

# 4
A plane-wave DFT calculation with PBE-GGA was carried out for a geometry-optimized H6PtRhAu2 structure.

Output
The crystal system is triclinic. The final energy comes out at -3.8267 eV/atom.

a b c (Å): 4.6052 4.6186 5.5718
angles (deg): 65.61 65.61 60.12
Sites, in units of the cell vectors:
H  0.1605  0.3334  0.2479
H  0.2426  0.8392  0.7534
H  0.3330  0.7563  0.2482
H  0.6670  0.2437  0.7518
H  0.7574  0.1608  0.2466
H  0.8395  0.6666  0.7521
Pt  0.5000  0.5000  0.0000
Rh  0.0000  0.0000  0.5000
Au  0.2536  0.2540  0.7392
Au  0.7464  0.7460  0.2608

---

# 5
A plane-wave DFT calculation with PBE-GGA was carried out for a geometry-optimized Cr2NiMo structure.

Output
The crystal system is orthorhombic. The final energy comes out at -8.8246 eV/atom. The calculation puts the energy of formation from the pure elements at 140.2 meV/atom.

a b c (Å): 2.5422 2.5422 8.1090
angles (deg): 90.00 90.00 105.05
Sites, in units of the cell vectors:
Cr  0.0000  0.0000  0.2331
Cr  0.0000  0.0000  0.7669
Ni  0.5000  0.5000  0.0000
Mo  0.5000  0.5000  0.5000

---

# 6
A plane-wave DFT calculation with PBE-GGA was carried out for a geometry-optimized InTcOs2 structure.

Output
The crystal system is trigonal. The final energy comes out at -8.5425 eV/atom. The calculation puts the energy of formation from the pure elements at 348.5 meV/atom.

a b c (Å): 9.2502 9.2502 9.2502
angles (deg): 17.61 17.61 17.61
Sites, in units of the cell vectors:
In  0.0000  0.0000  0.0000
Tc  0.7554  0.7554  0.7554
Os  0.2444  0.2444  0.2444
Os  0.4993  0.4993  0.4993

---

> Which of these has the highest final energy?

Na2InBi4